Density functional theory data (PBE-GGA) for a relaxed HoTlTc crystal.

Cell lengths 3.230, 3.230, 13.045 Å; angles 90.00, 90.00, 90.00 degrees
Space group P4/nmm (No. 129, origin choice 2)
Symmetry-distinct sites (fractional):
Ho1 0.250 0.250 0.204 x2
Tl1 0.250 0.250 0.597 x2
Tc1 0.250 0.250 0.948 x2

Output
Raw total energy in eV/atom: -5.8434
Spin magnetization in μB/f.u.: 0.00
Crystal system: tetragonal
Formation enthalpy at 0 K in eV/atom: -0.0734